A plane-wave DFT calculation with GGA-PBE was carried out for a geometry-optimized NbSb2TePb structure.

The calculation puts the energy relative to the lowest polymorph listed for this composition at 0 meV/atom. As for the space-group type: P4/mmm. As for the crystal system: tetragonal.

Cell: 5.462 5.462 5.363 Å, 90.00 90.00 90.00°
Fractional coordinates of all 5 atoms:
Nb (0.000, 0.000, 0.000)
Te (0.000, 0.000, 0.500)
Sb (0.000, 0.500, 0.000)
Sb (0.500, 0.000, 0.000)
Pb (0.500, 0.500, 0.500)

A plane-wave DFT calculation with GGA-PBE was carried out for a geometry-optimized Y2NbSbPb structure.

The calculation puts the total energy at -5.067 eV/atom. As for the space-group type: P4/mmm. As for the crystal system: tetragonal.

Cell: 5.651 5.559 5.651 Å, 90.00 90.00 90.00°
Last column: magnetic moment on the atom in μB.
Fractional coordinates of all 5 atoms:
Pb (0.000, 0.000, 0.000)  0.01
Sb (0.000, 0.500, 0.000)  -0.07
Nb (0.500, 0.500, 0.500)  2.71
Y (0.500, 0.000, 0.000)  0.10
Y (0.000, 0.000, 0.500)  0.14

A plane-wave DFT calculation with GGA-PBE was carried out for a geometry-optimized ZrNbSb2Pb structure.

The calculation puts the total energy at -5.376 eV/atom. As for the space-group type: P4/mmm. As for the crystal system: tetragonal.

Cell: 5.327 5.442 5.327 Å, 90.00 90.00 90.00°
Last column: magnetic moment on the atom in μB.
Fractional coordinates of all 5 atoms:
Zr (0.500, 0.500, 0.500)  1.21
Sb (0.000, 0.000, 0.500)  -0.03
Sb (0.500, 0.000, 0.000)  0.01
Nb (0.000, 0.000, 0.000)  0.12
Pb (0.000, 0.500, 0.000)  0.01

A plane-wave DFT calculation with GGA-PBE was carried out for a geometry-optimized ScNbPb2 structure.

The calculation puts the energy relative to the lowest polymorph listed for this composition at 104 meV/atom. As for the space-group type: I-42d. As for the crystal system: tetragonal.

Cell: 7.911 7.911 6.429 Å, 52.03 52.03 90.00°
Fractional coordinates of all 8 atoms:
Sc (0.250, 0.750, 0.500)
Sc (0.500, 0.500, 0.000)
Nb (0.750, 0.250, 0.500)
Nb (0.000, 0.000, 0.000)
Pb (0.875, 0.882, 0.750)
Pb (0.118, 0.625, 0.250)
Pb (0.632, 0.125, 0.250)
Pb (0.375, 0.368, 0.750)

A plane-wave DFT calculation with GGA-PBE was carried out for a geometry-optimized Sc2Nb2Pb structure.

The calculation puts the total energy at -7.219 eV/atom. As for the space-group type: P4/mbm. As for the crystal system: tetragonal.

Cell: 7.441 7.441 4.000 Å, 90.00 90.00 90.00°
Fractional coordinates of all 10 atoms:
Pb (0.500, 0.500, 0.000)
Pb (0.000, 0.000, 0.000)
Nb (0.376, 0.876, 0.000)
Nb (0.876, 0.624, 0.000)
Nb (0.124, 0.376, 0.000)
Nb (0.624, 0.124, 0.000)
Sc (0.170, 0.670, 0.500)
Sc (0.670, 0.830, 0.500)
Sc (0.330, 0.170, 0.500)
Sc (0.830, 0.330, 0.500)

A plane-wave DFT calculation with GGA-PBE was carried out for a geometry-optimized ScNbPb structure.

The calculation puts the total energy at -6.886 eV/atom. As for the space-group type: P4/nmm. As for the crystal system: tetragonal.

Cell: 4.161 4.161 7.796 Å, 90.00 90.00 90.00°
Fractional coordinates of all 6 atoms:
Pb (0.000, 0.500, 0.279)
Pb (0.500, 0.000, 0.721)
Sc (0.500, 0.000, 0.333)
Sc (0.000, 0.500, 0.667)
Nb (0.500, 0.500, 0.000)
Nb (0.000, 0.000, 0.000)

A plane-wave DFT calculation with GGA-PBE was carried out for a geometry-optimized ScNbPb3 structure.

The calculation puts the energy relative to the lowest polymorph listed for this composition at 0 meV/atom. As for the space-group type: Pm-3m. As for the crystal system: cubic.

Cell: 5.470 5.470 5.470 Å, 90.00 90.00 90.00°
Fractional coordinates of all 5 atoms:
Pb (0.500, 0.000, 0.000)
Pb (0.000, 0.500, 0.000)
Pb (0.000, 0.000, 0.500)
Nb (0.000, 0.000, 0.000)
Sc (0.500, 0.500, 0.500)

A plane-wave DFT calculation with GGA-PBE was carried out for a geometry-optimized ScNbPb2 structure.

The calculation puts the energy relative to the lowest polymorph listed for this composition at 0 meV/atom. As for the space-group type: Fm-3m. As for the crystal system: cubic.

Cell: 5.062 5.062 5.062 Å, 60.00 60.00 60.00°
Last column: magnetic moment on the atom in μB.
Fractional coordinates of all 4 atoms:
Pb (0.250, 0.250, 0.250)  0.01
Pb (0.750, 0.750, 0.750)  0.01
Sc (0.000, 0.000, 0.000)  0.03
Nb (0.500, 0.500, 0.500)  0.98

A plane-wave DFT calculation with GGA-PBE was carried out for a geometry-optimized ScNb2Pb structure.

The calculation puts the total energy at -6.889 eV/atom. As for the space-group type: I-42d. As for the crystal system: tetragonal.

Cell: 7.894 7.894 6.279 Å, 51.05 51.05 90.00°
Fractional coordinates of all 8 atoms:
Nb (0.375, 0.365, 0.750)
Nb (0.635, 0.125, 0.250)
Nb (0.115, 0.625, 0.250)
Nb (0.875, 0.885, 0.750)
Sc (0.500, 0.500, 0.000)
Sc (0.250, 0.750, 0.500)
Pb (0.000, 0.000, 0.000)
Pb (0.750, 0.250, 0.500)

A plane-wave DFT calculation with GGA-PBE was carried out for a geometry-optimized ScTa2NbPb structure.

The calculation puts the total energy at -6.795 eV/atom. As for the space-group type: P4/mmm. As for the crystal system: tetragonal.

Cell: 5.122 5.059 5.122 Å, 90.00 90.00 90.00°
Fractional coordinates of all 5 atoms:
Ta (0.500, 0.000, 0.000)
Ta (0.000, 0.000, 0.500)
Pb (0.000, 0.000, 0.000)
Sc (0.000, 0.500, 0.000)
Nb (0.500, 0.500, 0.500)

A plane-wave DFT calculation with GGA-PBE was carried out for a geometry-optimized ScNbZnPb2 structure.

The calculation puts the total energy at -4.019 eV/atom. As for the space-group type: P4/mmm. As for the crystal system: tetragonal.

Cell: 5.578 4.824 5.578 Å, 90.00 90.00 90.00°
Last column: magnetic moment on the atom in μB.
Fractional coordinates of all 5 atoms:
Nb (0.000, 0.500, 0.000)  0.95
Pb (0.000, 0.000, 0.500)  -0.02
Pb (0.500, 0.000, 0.000)  -0.05
Sc (0.000, 0.000, 0.000)  0.04
Zn (0.500, 0.500, 0.500)  -0.02

A plane-wave DFT calculation with GGA-PBE was carried out for a geometry-optimized Nb4PbSe8 structure.

The calculation puts the total energy at -6.287 eV/atom. As for the space-group type: C2/m. As for the crystal system: monoclinic.

Cell: 7.005 7.005 8.647 Å, 101.23 102.12 120.03°
Fractional coordinates of all 13 atoms:
Se (0.310, 0.981, 0.786)
Se (0.806, 0.477, 0.786)
Se (0.807, 0.977, 0.784)
Se (0.690, 0.019, 0.214)
Se (0.193, 0.023, 0.216)
Se (0.688, 0.522, 0.210)
Se (0.194, 0.523, 0.214)
Se (0.312, 0.478, 0.790)
Nb (0.244, 0.244, 0.000)
Nb (0.249, 0.752, 0.001)
Nb (0.751, 0.248, 0.999)
Nb (0.756, 0.756, 0.000)
Pb (0.000, 0.500, 0.500)

A plane-wave DFT calculation with GGA-PBE was carried out for a geometry-optimized Nb2PbSe structure.

The calculation puts the energy relative to the lowest polymorph listed for this composition at 256 meV/atom. As for the space-group type: I-42d. As for the crystal system: tetragonal.

Cell: 4.190 4.190 10.333 Å, 78.30 78.30 90.00°
Fractional coordinates of all 8 atoms:
Nb (0.601, 0.125, 0.250)
Nb (0.875, 0.851, 0.750)
Nb (0.149, 0.625, 0.250)
Nb (0.375, 0.399, 0.750)
Pb (0.000, 0.000, 0.000)
Pb (0.750, 0.250, 0.500)
Se (0.250, 0.750, 0.500)
Se (0.500, 0.500, 0.000)

A plane-wave DFT calculation with GGA-PBE was carried out for a geometry-optimized NbPb2Se structure.

The calculation puts the total energy at -4.447 eV/atom. As for the space-group type: I-42d. As for the crystal system: tetragonal.

Cell: 6.584 6.584 8.159 Å, 66.20 66.20 90.00°
Last column: magnetic moment on the atom in μB.
Fractional coordinates of all 8 atoms:
Pb (0.115, 0.625, 0.250)  -0.02
Pb (0.375, 0.365, 0.750)  -0.01
Pb (0.635, 0.125, 0.250)  -0.01
Pb (0.875, 0.885, 0.750)  -0.01
Se (0.250, 0.750, 0.500)  0.09
Se (0.500, 0.500, 0.000)  0.09
Nb (0.750, 0.250, 0.500)  1.27
Nb (0.000, 0.000, 0.000)  1.26

A plane-wave DFT calculation with GGA-PBE was carried out for a geometry-optimized Nb12PbSe16 structure.

The calculation puts the total energy at -7.035 eV/atom. As for the space-group type: P-1. As for the crystal system: triclinic.

Cell: 7.035 10.086 10.678 Å, 118.21 109.27 90.00°
Fractional coordinates of all 29 atoms:
Nb (0.927, 0.108, 0.621)
Nb (0.073, 0.892, 0.379)
Nb (0.560, 0.894, 0.382)
Nb (0.440, 0.106, 0.618)
Nb (0.430, 0.487, 0.106)
Nb (0.360, 0.380, 0.487)
Nb (0.875, 0.381, 0.488)
Nb (0.072, 0.511, 0.892)
Nb (0.125, 0.619, 0.512)
Nb (0.570, 0.513, 0.894)
Nb (0.640, 0.620, 0.513)
Nb (0.928, 0.489, 0.108)
Se (0.600, 0.278, 0.943)
Se (0.012, 0.338, 0.276)
Se (0.210, 0.332, 0.667)
Se (0.706, 0.335, 0.666)
Se (0.707, 0.939, 0.662)
Se (0.204, 0.946, 0.665)
Se (0.293, 0.061, 0.338)
Se (0.513, 0.335, 0.280)
Se (0.400, 0.722, 0.057)
Se (0.094, 0.280, 0.942)
Se (0.906, 0.720, 0.058)
Se (0.790, 0.668, 0.333)
Se (0.294, 0.665, 0.334)
Se (0.796, 0.054, 0.335)
Se (0.988, 0.662, 0.724)
Se (0.487, 0.665, 0.720)
Pb (0.500, 0.000, 0.000)

A plane-wave DFT calculation with GGA-PBE was carried out for a geometry-optimized NbPbSe structure.

The calculation puts the total energy at -5.901 eV/atom. As for the space-group type: Cc. As for the crystal system: monoclinic.

Cell: 5.027 10.668 10.404 Å, 70.22 76.02 76.37°
Fractional coordinates of all 18 atoms:
Pb (0.501, 0.122, 0.811)
Pb (0.566, 0.622, 0.311)
Pb (0.176, 0.200, 0.126)
Pb (0.498, 0.700, 0.626)
Pb (0.058, 0.832, 0.853)
Pb (0.257, 0.332, 0.353)
Nb (0.971, 0.274, 0.709)
Nb (0.046, 0.774, 0.209)
Nb (0.973, 0.044, 0.990)
Nb (0.490, 0.869, 0.049)
Nb (0.592, 0.369, 0.549)
Nb (0.993, 0.544, 0.490)
Se (0.942, 0.138, 0.539)
Se (0.695, 0.300, 0.953)
Se (0.625, 0.972, 0.220)
Se (0.051, 0.800, 0.453)
Se (0.183, 0.472, 0.720)
Se (0.381, 0.638, 0.039)

A plane-wave DFT calculation with GGA-PBE was carried out for a geometry-optimized Nb2PbSe structure.

The calculation puts the energy relative to the lowest polymorph listed for this composition at 0 meV/atom. As for the space-group type: Fm-3m. As for the crystal system: cubic.

Cell: 4.781 4.781 4.781 Å, 60.00 60.00 60.00°
Fractional coordinates of all 4 atoms:
Pb (0.500, 0.500, 0.500)
Se (0.000, 0.000, 0.000)
Nb (0.750, 0.750, 0.750)
Nb (0.250, 0.250, 0.250)

A plane-wave DFT calculation with GGA-PBE was carried out for a geometry-optimized Nb2PbSe4 structure.

The calculation puts the total energy at -5.943 eV/atom. As for the space-group type: Cmcm. As for the crystal system: orthorhombic.

Cell: 4.151 6.355 13.138 Å, 90.00 90.00 109.06°
Fractional coordinates of all 14 atoms:
Nb (0.894, 0.789, 0.943)
Nb (0.106, 0.211, 0.443)
Nb (0.106, 0.211, 0.057)
Nb (0.894, 0.789, 0.557)
Se (0.241, 0.483, 0.897)
Se (0.759, 0.517, 0.103)
Se (0.500, 0.000, 0.500)
Se (0.759, 0.517, 0.397)
Se (0.500, 0.000, 0.000)
Se (0.050, 0.099, 0.250)
Se (0.241, 0.483, 0.603)
Se (0.950, 0.901, 0.750)
Pb (0.639, 0.279, 0.750)
Pb (0.361, 0.721, 0.250)

A plane-wave DFT calculation with GGA-PBE was carried out for a geometry-optimized Nb3PbSe structure.

The calculation puts the energy relative to the lowest polymorph listed for this composition at 0 meV/atom. As for the space-group type: Pm-3m. As for the crystal system: cubic.

Cell: 4.801 4.801 4.801 Å, 90.00 90.00 90.00°
Fractional coordinates of all 5 atoms:
Se (0.000, 0.000, 0.000)
Nb (0.500, 0.000, 0.000)
Nb (0.000, 0.000, 0.500)
Nb (0.000, 0.500, 0.000)
Pb (0.500, 0.500, 0.500)

A plane-wave DFT calculation with GGA-PBE was carried out for a geometry-optimized Nb3PbSe structure.

The calculation puts the energy relative to the lowest polymorph listed for this composition at 1473 meV/atom. As for the space-group type: Pm-3m. As for the crystal system: cubic.

Cell: 5.179 5.179 5.179 Å, 90.00 90.00 90.00°
Last column: magnetic moment on the atom in μB.
Fractional coordinates of all 5 atoms:
Nb (0.500, 0.000, 0.000)  0.25
Nb (0.000, 0.000, 0.500)  0.57
Nb (0.000, 0.500, 0.000)  0.38
Pb (0.000, 0.000, 0.000)  0.03
Se (0.500, 0.500, 0.500)  0.00

A plane-wave DFT calculation with GGA-PBE was carried out for a geometry-optimized NbSn2PbSe structure.

The calculation puts the total energy at -4.510 eV/atom. As for the space-group type: P4/mmm. As for the crystal system: tetragonal.

Cell: 5.611 4.864 5.611 Å, 90.00 90.00 90.00°
Last column: magnetic moment on the atom in μB.
Fractional coordinates of all 5 atoms:
Sn (0.500, 0.000, 0.000)  -0.02
Sn (0.000, 0.000, 0.500)  0.00
Se (0.000, 0.000, 0.000)  -0.03
Nb (0.000, 0.500, 0.000)  1.56
Pb (0.500, 0.500, 0.500)  -0.02

A plane-wave DFT calculation with GGA-PBE was carried out for a geometry-optimized NbTl3Pb2Se6 structure.

The calculation puts the total energy at -4.349 eV/atom. As for the space-group type: C2/m. As for the crystal system: monoclinic.

Cell: 7.363 7.363 7.813 Å, 98.99 98.99 119.60°
Fractional coordinates of all 12 atoms:
Se (0.069, 0.361, 0.205)
Se (0.221, 0.221, 0.788)
Se (0.361, 0.069, 0.205)
Se (0.779, 0.779, 0.212)
Se (0.639, 0.931, 0.795)
Se (0.931, 0.639, 0.795)
Tl (0.500, 0.500, 0.500)
Tl (0.830, 0.170, 0.500)
Tl (0.170, 0.830, 0.500)
Pb (0.334, 0.666, 0.000)
Pb (0.666, 0.334, 0.000)
Nb (0.000, 0.000, 0.000)

A plane-wave DFT calculation with GGA-PBE was carried out for a geometry-optimized NbSiPb structure.

The calculation puts the total energy at -6.359 eV/atom. As for the space-group type: I4mm. As for the crystal system: tetragonal.

Cell: 3.475 3.475 9.904 Å, 90.00 90.00 90.00°
Fractional coordinates of all 6 atoms:
Nb (0.000, 0.000, 0.139)
Nb (0.500, 0.500, 0.639)
Pb (0.000, 0.000, 0.838)
Pb (0.500, 0.500, 0.338)
Si (0.500, 0.500, 0.042)
Si (0.000, 0.000, 0.542)

A plane-wave DFT calculation with GGA-PBE was carried out for a geometry-optimized NbSiPb3 structure.

The calculation puts the energy relative to the lowest polymorph listed for this composition at 341 meV/atom. As for the space-group type: Pm-3m. As for the crystal system: cubic.

Cell: 5.264 5.264 5.264 Å, 90.00 90.00 90.00°
Fractional coordinates of all 5 atoms:
Nb (0.500, 0.500, 0.500)
Si (0.000, 0.000, 0.000)
Pb (0.000, 0.000, 0.500)
Pb (0.000, 0.500, 0.000)
Pb (0.500, 0.000, 0.000)